Compound: LiTmMoO4
Source: Alexandria
Functional: PBE with a Hubbard U
Structure: relaxed

The calculation puts the total energy at -50.26 eV per formula unit.

Unit cell a=6.440 b=6.440 c=6.440 alpha=121.39 beta=117.75 gamma=90.77
Element x y z (fractional)
Li 0.355 0.105 0.250
Li 0.645 0.895 0.750
Tm 0.000 0.500 0.500
Tm 0.500 0.500 0.000
Mo 0.000 0.000 0.500
Mo 0.000 0.500 0.000
O 0.210 0.746 0.464
O 0.219 0.254 0.964
O 0.227 0.242 0.515
O 0.227 0.711 0.985
O 0.773 0.289 0.015
O 0.773 0.758 0.485
O 0.781 0.746 0.036
O 0.790 0.254 0.536